(1)
DFT (PBE-GGA) results for crystalline Rh3C2 at its relaxed geometry.

Summary:
energy of formation	0.4175	eV per atom
crystal system	orthorhombic
final energy	-307.3	eV per cell
total moment	0.000	Bohr magnetons per cell

a = 10.1349 Å, b = 11.8553 Å, c = 3.8237 Å
α = 90.00°, β = 90.00°, γ = 90.00°
With the nearest neighbours (Å) after each atom.
Space group Fdd2 (No. 43)
Symmetry-distinct sites (fractional):
Rh: 0.0000 0.0000 0.0000 x8  4 C 2.09-2.19
Rh: 0.0010 0.3301 0.0159 x16  4 C 2.10-2.17
C: 0.0884 0.1685 0.0206 x16  6 Rh 2.09-2.19

---

(2)
DFT (PBE-GGA) results for crystalline LiAcSn4Pd2 at its relaxed geometry.

Summary:
energy of formation	-0.5270	eV per atom
crystal system	trigonal
final energy	-109.9	eV per cell
total moment	0.000	Bohr magnetons per cell

a = 4.6841 Å, b = 4.6841 Å, c = 29.4010 Å
α = 90.00°, β = 90.00°, γ = 120.00°
With the nearest neighbours (Å) after each atom.
Space group R-3m (No. 166, hexagonal axes)
Symmetry-distinct sites (fractional):
Li: 0.0000 0.0000 0.0000 x3  8 Sn 2.91-2.92
Ac: 0.0000 0.0000 0.5000 x3  6 Sn 3.36
Sn: 0.0000 0.0000 0.0991 x6  3 Pd 2.85, 1 Li 2.91
Sn: 0.0000 0.0000 0.3708 x6  4 Pd 2.85-3.11, 3 Li 2.92
Pd: 0.0000 0.0000 0.2652 x6  7 Sn 2.85-3.11